An optimized crystal structure of Sm3BeB2Pt9. Source: Alexandria via LeMat-Bulk, functional PBE-GGA.

Calculated values
ΔH_f (0 K), kJ per mole of atoms: -81.60
Theoretical density, g cm⁻³: 14.4
Crystal system: trigonal
VASP energy, eV/atom: -6.553
Total magnetic moment, μB/cell: 0.000
Space-group type: P-3m1

a b c (Å): 5.767 5.767 8.980
angles (deg): 90.00 90.00 120.00
Positions (direct):
Sm  0.000  0.000  0.000
Sm  0.333  0.667  0.608
Sm  0.667  0.333  0.392
Be  0.000  0.000  0.500
B  0.333  0.667  0.157
B  0.667  0.333  0.843
Pt  0.000  0.500  0.000
Pt  0.163  0.325  0.299
Pt  0.163  0.837  0.299
Pt  0.325  0.163  0.701
Pt  0.500  0.000  0.000
Pt  0.500  0.500  0.000
Pt  0.675  0.837  0.299
Pt  0.837  0.163  0.701
Pt  0.837  0.675  0.701

An optimized crystal structure of In3PdRh2. Source: Alexandria via LeMat-Bulk, functional PBE-GGA.

Calculated values
ΔH_f (0 K), kJ per mole of atoms: -41.21
Theoretical density, g cm⁻³: 10.5
Crystal system: trigonal
VASP energy, eV/atom: -5.112
Total magnetic moment, μB/cell: 0.000
Space-group type: P-3m1
Polymorph energy (0 for the lowest one), eV/f.u.: 0.07

a b c (Å): 4.604 4.604 11.290
angles (deg): 90.00 90.00 120.00
Positions (direct):
In  0.000  0.000  0.248
In  0.000  0.000  0.752
In  0.333  0.667  0.417
In  0.333  0.667  0.918
In  0.667  0.333  0.082
In  0.667  0.333  0.583
Pd  0.333  0.667  0.669
Pd  0.667  0.333  0.331
Rh  0.000  0.000  0.000
Rh  0.000  0.000  0.500
Rh  0.333  0.667  0.165
Rh  0.667  0.333  0.835

An optimized crystal structure of TlCr2Co2. Source: Alexandria via LeMat-Bulk, functional PBE-GGA.

Calculated values
ΔH_f (0 K), kJ per mole of atoms: 47.75
Theoretical density, g cm⁻³: 10.6
Crystal system: tetragonal
VASP energy, eV/atom: -6.670
Total magnetic moment, μB/cell: 0.055
Space-group type: P4/mbm

a b c (Å): 7.058 7.058 2.673
angles (deg): 90.00 90.00 90.00
Positions (direct):
Tl  0.000  0.000  0.000
Tl  0.500  0.500  0.000
Cr  0.164  0.336  0.500
Cr  0.336  0.836  0.500
Cr  0.664  0.164  0.500
Cr  0.836  0.664  0.500
Co  0.123  0.623  0.000
Co  0.377  0.123  0.000
Co  0.623  0.877  0.000
Co  0.877  0.377  0.000

An optimized crystal structure of PbAu3. Source: Alexandria via LeMat-Bulk, functional PBE-GGA.

Calculated values
ΔH_f (0 K), kJ per mole of atoms: -2.25
Theoretical density, g cm⁻³: 15.1
Crystal system: orthorhombic
VASP energy, eV/atom: -3.408
Total magnetic moment, μB/cell: 0.000
Space-group type: Pnma

a b c (Å): 9.099 6.793 5.672
angles (deg): 90.00 90.00 90.00
Positions (direct):
Pb  0.042  0.250  0.148
Pb  0.458  0.750  0.648
Pb  0.542  0.250  0.352
Pb  0.958  0.750  0.852
Au  0.062  0.750  0.343
Au  0.207  0.031  0.635
Au  0.207  0.469  0.635
Au  0.293  0.531  0.135
Au  0.293  0.969  0.135
Au  0.438  0.250  0.843
Au  0.562  0.750  0.157
Au  0.707  0.031  0.865
Au  0.707  0.469  0.865
Au  0.793  0.531  0.365
Au  0.793  0.969  0.365
Au  0.938  0.250  0.657